Record 1
The following is a PBE-GGA calculation of an optimized crystal structure of EuHoLuAl, from Alexandria.

Geometry as CIF:
```
data_EuHoLuAl
_chemical_formula_sum 'Eu1 Ho1 Lu1 Al1'
_symmetry_space_group_name_H-M 'P 1'
_symmetry_Int_Tables_number 1
_symmetry_space_group_name_Hall 'P 1'
_cell_length_a 5.3532
_cell_length_b 5.3532
_cell_length_c 5.3532
_cell_angle_alpha 60.00
_cell_angle_beta 60.00
_cell_angle_gamma 60.00
loop_
_atom_site_label
_atom_site_type_symbol
_atom_site_fract_x
_atom_site_fract_y
_atom_site_fract_z
Eu1 Eu 0.0000 0.0000 0.0000
Ho1 Ho 0.2500 0.2500 0.2500
Lu1 Lu 0.7500 0.7500 0.7500
Al1 Al 0.5000 0.5000 0.5000
```

energy of formation from the pure elements	-0.4	kJ per mole of atoms
space-group type	F-43m
raw total energy	-23.13	eV per cell

Record 2
The following is a PBE-GGA calculation of an optimized crystal structure of NaEuHoAl, from Alexandria.

Geometry as CIF:
```
data_NaEuHoAl
_chemical_formula_sum 'Na1 Eu1 Ho1 Al1'
_symmetry_space_group_name_H-M 'P 1'
_symmetry_Int_Tables_number 1
_symmetry_space_group_name_Hall 'P 1'
_cell_length_a 5.4241
_cell_length_b 5.4241
_cell_length_c 5.4241
_cell_angle_alpha 60.00
_cell_angle_beta 60.00
_cell_angle_gamma 60.00
loop_
_atom_site_label
_atom_site_type_symbol
_atom_site_fract_x
_atom_site_fract_y
_atom_site_fract_z
Na1 Na 0.0000 0.0000 0.0000
Eu1 Eu 0.7500 0.7500 0.7500
Ho1 Ho 0.2500 0.2500 0.2500
Al1 Al 0.5000 0.5000 0.5000
```

energy of formation from the pure elements	0.8	kJ per mole of atoms
space-group type	F-43m
raw total energy	-19.88	eV per cell

Record 3
The following is a PBE-GGA calculation of an optimized crystal structure of PmEuHoAl, from Alexandria.

Geometry as CIF:
```
data_PmEuHoAl
_chemical_formula_sum 'Pm1 Eu1 Ho1 Al1'
_symmetry_space_group_name_H-M 'P 1'
_symmetry_Int_Tables_number 1
_symmetry_space_group_name_Hall 'P 1'
_cell_length_a 5.4447
_cell_length_b 5.4447
_cell_length_c 5.4447
_cell_angle_alpha 60.00
_cell_angle_beta 60.00
_cell_angle_gamma 60.00
loop_
_atom_site_label
_atom_site_type_symbol
_atom_site_fract_x
_atom_site_fract_y
_atom_site_fract_z
Pm1 Pm 0.0000 0.0000 0.0000
Eu1 Eu 0.2500 0.2500 0.2500
Ho1 Ho 0.5000 0.5000 0.5000
Al1 Al 0.7500 0.7500 0.7500
```

energy of formation from the pure elements	-3.3	kJ per mole of atoms
space-group type	F-43m
raw total energy	-23.48	eV per cell

Record 4
The following is a PBE-GGA calculation of an optimized crystal structure of EuHoScAl, from Alexandria.

Geometry as CIF:
```
data_EuHoScAl
_chemical_formula_sum 'Eu1 Ho1 Sc1 Al1'
_symmetry_space_group_name_H-M 'P 1'
_symmetry_Int_Tables_number 1
_symmetry_space_group_name_Hall 'P 1'
_cell_length_a 5.2618
_cell_length_b 5.2618
_cell_length_c 5.2618
_cell_angle_alpha 60.00
_cell_angle_beta 60.00
_cell_angle_gamma 60.00
loop_
_atom_site_label
_atom_site_type_symbol
_atom_site_fract_x
_atom_site_fract_y
_atom_site_fract_z
Eu1 Eu 0.0000 0.0000 0.0000
Ho1 Ho 0.7500 0.7500 0.7500
Sc1 Sc 0.2500 0.2500 0.2500
Al1 Al 0.5000 0.5000 0.5000
```

energy of formation from the pure elements	-0.6	kJ per mole of atoms
space-group type	F-43m
raw total energy	-24.95	eV per cell

Record 5
The following is a PBE-GGA calculation of an optimized crystal structure of SmEuHoAl, from Alexandria.

Geometry as CIF:
```
data_SmEuHoAl
_chemical_formula_sum 'Sm1 Eu1 Ho1 Al1'
_symmetry_space_group_name_H-M 'P 1'
_symmetry_Int_Tables_number 1
_symmetry_space_group_name_Hall 'P 1'
_cell_length_a 5.4338
_cell_length_b 5.4338
_cell_length_c 5.4338
_cell_angle_alpha 60.00
_cell_angle_beta 60.00
_cell_angle_gamma 60.00
loop_
_atom_site_label
_atom_site_type_symbol
_atom_site_fract_x
_atom_site_fract_y
_atom_site_fract_z
Sm1 Sm 0.0000 0.0000 0.0000
Eu1 Eu 0.7500 0.7500 0.7500
Ho1 Ho 0.5000 0.5000 0.5000
Al1 Al 0.2500 0.2500 0.2500
```

energy of formation from the pure elements	-3.1	kJ per mole of atoms
space-group type	F-43m
raw total energy	-23.44	eV per cell

Record 6
The following is a PBE-GGA calculation of an optimized crystal structure of EuHoAlTl, from Alexandria.

Geometry as CIF:
```
data_EuHoAlTl
_chemical_formula_sum 'Eu1 Ho1 Al1 Tl1'
_symmetry_space_group_name_H-M 'P 1'
_symmetry_Int_Tables_number 1
_symmetry_space_group_name_Hall 'P 1'
_cell_length_a 5.3542
_cell_length_b 5.3542
_cell_length_c 5.3542
_cell_angle_alpha 60.00
_cell_angle_beta 60.00
_cell_angle_gamma 60.00
loop_
_atom_site_label
_atom_site_type_symbol
_atom_site_fract_x
_atom_site_fract_y
_atom_site_fract_z
Eu1 Eu 0.0000 0.0000 0.0000
Ho1 Ho 0.5000 0.5000 0.5000
Al1 Al 0.7500 0.7500 0.7500
Tl1 Tl 0.2500 0.2500 0.2500
```

energy of formation from the pure elements	-27.8	kJ per mole of atoms
space-group type	F-43m
raw total energy	-22.11	eV per cell

Record 7
The following is a PBE-GGA calculation of an optimized crystal structure of EuYHoAl, from Alexandria.

Geometry as CIF:
```
data_EuYHoAl
_chemical_formula_sum 'Eu1 Y1 Ho1 Al1'
_symmetry_space_group_name_H-M 'P 1'
_symmetry_Int_Tables_number 1
_symmetry_space_group_name_Hall 'P 1'
_cell_length_a 5.4020
_cell_length_b 5.4020
_cell_length_c 5.4020
_cell_angle_alpha 60.00
_cell_angle_beta 60.00
_cell_angle_gamma 60.00
loop_
_atom_site_label
_atom_site_type_symbol
_atom_site_fract_x
_atom_site_fract_y
_atom_site_fract_z
Eu1 Eu 0.0000 0.0000 0.0000
Y1 Y 0.7500 0.7500 0.7500
Ho1 Ho 0.2500 0.2500 0.2500
Al1 Al 0.5000 0.5000 0.5000
```

energy of formation from the pure elements	-2.9	kJ per mole of atoms
space-group type	F-43m
raw total energy	-25.18	eV per cell

Record 8
The following is a PBE-GGA calculation of an optimized crystal structure of Eu2AlIn, from Alexandria.

Geometry as CIF:
```
data_Eu2AlIn
_chemical_formula_sum 'Eu2 Al1 In1'
_symmetry_space_group_name_H-M 'P 1'
_symmetry_Int_Tables_number 1
_symmetry_space_group_name_Hall 'P 1'
_cell_length_a 10.4845
_cell_length_b 10.4845
_cell_length_c 10.4845
_cell_angle_alpha 20.41
_cell_angle_beta 20.41
_cell_angle_gamma 20.41
loop_
_atom_site_label
_atom_site_type_symbol
_atom_site_fract_x
_atom_site_fract_y
_atom_site_fract_z
Eu1 Eu 0.2462 0.2462 0.2462
Eu2 Eu 0.7538 0.7538 0.7538
Al1 Al 0.5000 0.5000 0.5000
In1 In 0.0000 0.0000 0.0000
```

excess energy over the best structure of this formula in the dataset	0.2173	eV/atom
energy of formation from the pure elements	-11.2	kJ per mole of atoms
space-group type	R-3m
raw total energy	-27.49	eV per cell